Computed, not measured: crystalline PrSi7Os3 at its relaxed geometry at the PBE level of DFT.

For the uncorrected formation energy, the calculation gives -0.42 eV per atom.

The space group is R-3c (No. 167, hexagonal axes) and the conventional cell measures 7.6985, 7.6985 and 20.2769 Å, with angles of 90.00, 90.00 and 120.00 degrees. The distinct sites, in fractional coordinates, are Pr at (0.0000, 0.0000, 0.0000), Si at (0.0000, 0.0000, 0.2500), Si at (0.0076, 0.1988, 0.1391) and Os at (0.0000, 0.3278, 0.2500).

Computed, not measured: crystalline NaCuHg2Cl at its relaxed geometry at the PBE level of DFT.

For the uncorrected formation energy, the calculation gives 0.02 eV per atom.

The space group is P4/mmm (No. 123) and the conventional cell measures 6.648, 6.648 and 4.182 Å, with angles of 90.00, 90.00 and 90.00 degrees. The distinct sites, in fractional coordinates, are Na at (0.000, 0.000, 0.000), Cu at (0.500, 0.500, 0.000), Hg at (0.000, 0.500, 0.500) and Cl at (0.500, 0.500, 0.500).

Computed, not measured: crystalline YTa2SnSe at its relaxed geometry at the PBE level of DFT.

For the uncorrected formation energy, the calculation gives 1.39 eV per atom.

The space group is P4/mmm (No. 123) and the conventional cell measures 5.098, 5.098 and 5.670 Å, with angles of 90.00, 90.00 and 90.00 degrees. The distinct sites, in fractional coordinates, are Y at (0.000, 0.000, 0.000), Ta at (0.000, 0.500, 0.500), Sn at (0.000, 0.000, 0.500) and Se at (0.500, 0.500, 0.000).

Computed, not measured: crystalline NaEr3Ru at its relaxed geometry at the PBE level of DFT.

Its energy of formation is -0.07 eV/atom.

The space group is Pm-3m (No. 221) and the conventional cell measures 5.385, 5.385 and 5.385 Å, with angles of 90.00, 90.00 and 90.00 degrees. The distinct sites, in fractional coordinates, are Na at (0.000, 0.000, 0.000), Er at (0.000, 0.500, 0.500) and Ru at (0.500, 0.500, 0.500).

Computed, not measured: crystalline Mn2CrFeMo at its relaxed geometry at the PBE level of DFT.

Its energy of formation is 2.06 eV/atom.

The space group is P4/mmm (No. 123) and the conventional cell measures 4.325, 4.325 and 4.351 Å, with angles of 90.00, 90.00 and 90.00 degrees. The distinct sites, in fractional coordinates, are Mn at (0.000, 0.500, 0.000), Cr at (0.000, 0.000, 0.500), Fe at (0.500, 0.500, 0.500) and Mo at (0.000, 0.000, 0.000).

Computed, not measured: crystalline Cs2TcOsF6 at its relaxed geometry at the PBE level of DFT.

For the uncorrected formation energy, the calculation gives -1.57 eV per atom.

The space group is Fm-3m (No. 225) and the conventional cell measures 8.944, 8.944 and 8.944 Å, with angles of 90.00, 90.00 and 90.00 degrees. The distinct sites, in fractional coordinates, are Cs at (0.250, 0.250, 0.250), Tc at (0.000, 0.000, 0.000), Os at (0.000, 0.000, 0.500) and F at (0.000, 0.000, 0.260).

Computed, not measured: crystalline AlZnAu5 at its relaxed geometry at the PBE level of DFT.

The relative energy among the computed polymorphs comes out at 0.000 eV/atom. Its energy of formation is -0.17 eV/atom.

The space group is C2/c (No. 15) and the conventional cell measures 7.772, 12.198 and 5.213 Å, with angles of 90.00, 90.11 and 90.00 degrees. The distinct sites, in fractional coordinates, are Al at (0.000, 0.084, 0.250), Zn at (0.000, 0.500, 0.000), Au at (0.000, 0.294, 0.250), Au at (0.179, 0.093, 0.749) and Au at (0.186, 0.337, 0.750).

Computed, not measured: crystalline Sb2Te3Au at its relaxed geometry at the PBE level of DFT.

For the uncorrected formation energy, the calculation gives 0.05 eV per atom.

The space group is Cmc2_1 (No. 36) and the conventional cell measures 13.359, 9.956 and 6.332 Å, with angles of 90.00, 90.00 and 90.00 degrees. The distinct sites, in fractional coordinates, are Sb at (0.154, 0.165, 0.000), Te at (0.000, 0.376, 0.000), Te at (0.167, 0.173, 0.500) and Au at (0.000, 0.343, 0.502).

- What is the formula in the second record?
  NaCuHg2Cl

Copy entry 6 word for word.
Computed, not measured: crystalline Cs2TcOsF6 at its relaxed geometry at the PBE level of DFT.

For the uncorrected formation energy, the calculation gives -1.57 eV per atom.

The space group is Fm-3m (No. 225) and the conventional cell measures 8.944, 8.944 and 8.944 Å, with angles of 90.00, 90.00 and 90.00 degrees. The distinct sites, in fractional coordinates, are Cs at (0.250, 0.250, 0.250), Tc at (0.000, 0.000, 0.000), Os at (0.000, 0.000, 0.500) and F at (0.000, 0.000, 0.260).